The following is a PBE-GGA calculation of a geometry-optimized Al8FeCu2 structure, from the Alexandria database.

a b c (Å): 7.1412 7.1412 7.1412
angles (deg): 147.67 122.49 67.53
With the nearest neighbours (Å) after each atom.
Fractional positions:
Al (0.1104, 0.3399, 0.7705)  3 Cu 2.55-2.64, 1 Fe 2.66, 5 Al 2.73-2.82
Al (0.1432, 0.1432, 0.0000)  2 Fe 2.62, 8 Al 2.66-2.82, 2 Cu 2.88
Al (0.2982, 0.0000, 0.2982)  2 Cu 2.56, 7 Al 2.66-2.77, 2 Fe 2.85
Al (0.4306, 0.6601, 0.7705)  3 Cu 2.55-2.64, 1 Fe 2.66, 5 Al 2.73-2.82
Al (0.5694, 0.3399, 0.2295)  3 Cu 2.55-2.64, 1 Fe 2.66, 5 Al 2.73-2.82
Al (0.7018, 0.0000, 0.7018)  2 Cu 2.56, 7 Al 2.66-2.77, 2 Fe 2.85
Al (0.8568, 0.8568, 0.0000)  2 Fe 2.62, 8 Al 2.66-2.82, 2 Cu 2.88
Al (0.8896, 0.6601, 0.2295)  3 Cu 2.55-2.64, 1 Fe 2.66, 5 Al 2.73-2.82
Fe (0.0000, 0.5000, 0.5000)  12 Al 2.62-2.85
Cu (0.3184, 0.8184, 0.5000)  8 Al 2.55-2.64
Cu (0.6816, 0.1816, 0.5000)  8 Al 2.55-2.64

Values from the calculation:
- formation enthalpy at 0 K (eV/atom) = -0.0839
- SG = Immm